1.
The following is a PBE calculation of a relaxed Dy2AgOs crystal, from Alexandria.

Results
total moment: 0.0 μB per cell
formation energy: -274.7 meV per atom

a b c (Å): 4.948 4.948 4.948
angles (deg): 60.00 60.00 60.00
Atoms (fractional coordinates):
Dy: 0.750 0.750 0.750
Os: 0.000 0.000 0.000
Dy: 0.250 0.250 0.250
Ag: 0.500 0.500 0.500

2.
The following is a PBE calculation of a relaxed ReAgAs2 crystal, from Alexandria.

Results
total moment: 0.0 μB per cell
formation energy: 411.8 meV per atom

a b c (Å): 2.900 2.900 10.358
angles (deg): 90.00 90.00 117.99
Atoms (fractional coordinates):
Re: 0.500 0.500 0.250
Ag: 0.500 0.500 0.750
As: 0.000 0.000 0.049
As: 0.000 0.000 0.451

Excess energy over the best structure of this formula in the dataset readings, ordered: 0.043 0.261 eV per atom
N(E_F) readings, ordered: 2.28 2.81 states/eV/f.u.